Material: TaCdW2
Method: DFT, PBE
State: optimized geometry

- Formation energy: 0.47 eV per atom

Cell: 5.008 5.008 5.371 Å, 85.19 85.19 31.58°
Atoms (fractional coordinates):
Cd  0.501  0.501  0.501
W  0.000  0.000  0.006
W  0.248  0.248  0.242
Ta  0.752  0.752  0.751

=====

Material: Ta2CdW
Method: DFT, PBE
State: optimized geometry

- Formation energy: 0.40 eV per atom

Cell: 10.335 10.335 10.335 Å, 16.07 16.07 16.07°
Atoms (fractional coordinates):
Ta  0.001  0.001  0.001
Ta  0.752  0.752  0.752
W  0.499  0.499  0.499
Cd  0.248  0.248  0.248

=====

Material: TaCd2W
Method: DFT, PBE
State: optimized geometry

- Energy above the lowest structure with this stoichiometry: 24.3 kJ per mole of atoms
- Formation energy: 0.49 eV per atom

Cell: 2.803 2.803 9.623 Å, 90.00 90.00 102.06°
Atoms (fractional coordinates):
Ta  0.500  0.500  0.250
W  0.500  0.500  0.750
Cd  0.000  0.000  0.996
Cd  0.000  0.000  0.504

=====

formation energy of number 2 (Ta2CdW)?
0.40 eV per atom

=====

The lowest formation energy belongs to which entry?
Ta2CdW

=====

What did the third record say?
Material: TaCd2W
Method: DFT, PBE
State: optimized geometry

- Energy above the lowest structure with this stoichiometry: 24.3 kJ per mole of atoms
- Formation energy: 0.49 eV per atom

Cell: 2.803 2.803 9.623 Å, 90.00 90.00 102.06°
Atoms (fractional coordinates):
Ta  0.500  0.500  0.250
W  0.500  0.500  0.750
Cd  0.000  0.000  0.996
Cd  0.000  0.000  0.504